Version 1
{"formula": "BaNi3Br", "functional": "GGA-PBE", "state": "optimized geometry", "magnetic_moment_mub_per_fu": 0.08, "sg": "No. 221", "volume_a3_per_atom": 25.79, "lattice": [[5.0524, 0.0000, 0.0000], [0.0000, 5.0524, 0.0000], [0.0000, 0.0000, 5.0524]], "species": ["Ni", "Ni", "Ba", "Ni", "Br"], "fractional_positions": [[0.0000, 0.0000, 0.5000], [0.0000, 0.5000, 0.0000], [0.0000, 0.0000, 0.0000], [0.5000, 0.0000, 0.0000], [0.5000, 0.5000, 0.5000]]}



Version 2
{"formula": "BaNi3Br", "functional": "GGA-PBE", "state": "optimized geometry", "magnetic_moment_mub_per_fu": 0.00, "sg": "No. 221", "volume_a3_per_atom": 20.40, "lattice": [[-2.8375, 3.0220, -2.1551], [1.7436, -1.3095, -4.1320], [-3.2767, -3.3138, -0.3325]], "species": ["Ni", "Ni", "Ni", "Br", "Ba"], "fractional_positions": [[0.5000, 0.0000, 0.0000], [0.0000, 0.5000, 0.0000], [0.0000, 0.0000, 0.5000], [0.0000, 0.0000, 0.0000], [0.5000, 0.5000, 0.5000]]}



What should be chosen as the most stable of them? Choose version 2.



Version 1
{"formula": "Ba2NiBr", "functional": "GGA-PBE", "state": "optimized geometry", "magnetic_moment_mub_per_fu": 0.00, "sg": "No. 119", "volume_a3_per_atom": 34.74, "lattice": [[7.4673, 0.0501, 0.0000], [4.6683, 5.8284, 0.0000], [-6.0678, -2.9393, 3.2103]], "species": ["Br", "Ni", "Ba", "Ba"], "fractional_positions": [[0.5000, 0.5000, 0.0000], [0.7500, 0.2500, 0.5000], [0.2500, 0.7500, 0.5000], [0.0000, 0.0000, 0.0000]]}



Version 2
{"formula": "Ba2NiBr", "functional": "GGA-PBE", "state": "optimized geometry", "magnetic_moment_mub_per_fu": 0.00, "sg": "No. 225", "volume_a3_per_atom": 31.99, "lattice": [[0.0000, 3.9995, 3.9995], [3.9995, 0.0000, 3.9995], [3.9995, 3.9995, 0.0000]], "species": ["Ba", "Ba", "Br", "Ni"], "fractional_positions": [[0.2500, 0.2500, 0.2500], [0.7500, 0.7500, 0.7500], [0.5000, 0.5000, 0.5000], [0.0000, 0.0000, 0.0000]]}



What should be chosen as the most stable of them? Choose version 2.



Version 1
{"formula": "Ba2NiBr", "functional": "GGA-PBE", "state": "optimized geometry", "magnetic_moment_mub_per_fu": 0.00, "sg": "No. 160", "volume_a3_per_atom": 36.37, "lattice": [[-4.3233, -0.6139, -0.8507], [-1.6056, -4.1186, -0.5003], [-3.5596, -1.9721, 7.8801]], "species": ["Ni", "Ba", "Ba", "Br"], "fractional_positions": [[0.6671, 0.6671, 0.9988], [0.2634, 0.2634, 0.2097], [0.0702, 0.0702, 0.7893], [0.4993, 0.4993, 0.5021]]}



Version 2
{"formula": "Ba2NiBr", "functional": "GGA-PBE", "state": "optimized geometry", "magnetic_moment_mub_per_fu": 0.00, "sg": "No. 71", "volume_a3_per_atom": 32.24, "lattice": [[-4.9347, 0.4142, -2.8032], [2.4132, -2.5191, -4.4957], [-0.4825, -2.2504, 5.2042]], "species": ["Ni", "Ba", "Br", "Ba"], "fractional_positions": [[0.2500, 0.7500, 0.5000], [0.4879, 0.4879, 0.0000], [0.7500, 0.2500, 0.5000], [0.0121, 0.0121, 0.0000]]}



Version 3
{"formula": "Ba2NiBr", "functional": "GGA-PBE", "state": "optimized geometry", "magnetic_moment_mub_per_fu": 0.00, "sg": "No. 216", "volume_a3_per_atom": 30.85, "lattice": [[-2.9285, 4.0774, -2.4544], [-4.0541, -1.2682, -3.6306], [-5.3504, 0.8213, 1.3873]], "species": ["Ni", "Br", "Ba", "Ba"], "fractional_positions": [[0.7500, 0.7500, 0.7500], [0.5000, 0.5000, 0.5000], [0.0000, 0.0000, 0.0000], [0.2500, 0.2500, 0.2500]]}



Version 4
{"formula": "Ba2NiBr", "functional": "GGA-PBE", "state": "optimized geometry", "magnetic_moment_mub_per_fu": 0.00, "sg": "No. 99", "volume_a3_per_atom": 35.93, "lattice": [[4.6890, 0.0000, 0.0000], [0.0000, 4.6824, 0.0000], [0.0000, 0.0000, 6.5465]], "species": ["Br", "Ni", "Ba", "Ba"], "fractional_positions": [[0.0000, 0.0000, 0.3752], [0.5000, 0.5000, 0.8760], [0.0000, 0.0000, 0.8751], [0.5000, 0.5000, 0.3737]]}



What should be chosen as the most stable of them? Choose version 1.



Version 1
{"formula": "BaNiBr3", "functional": "GGA-PBE", "state": "optimized geometry", "magnetic_moment_mub_per_fu": 0.02, "sg": "No. 221", "volume_a3_per_atom": 26.77, "lattice": [[-1.8266, -3.9479, -2.6919], [1.8312, -3.2403, 3.5095], [-4.4135, 0.2895, 2.5702]], "species": ["Ba", "Br", "Br", "Ni", "Br"], "fractional_positions": [[0.5000, 0.5000, 0.5000], [0.0000, 0.5000, 0.0000], [0.5000, 0.0000, 0.0000], [0.0000, 0.0000, 0.0000], [0.0000, 0.0000, 0.5000]]}



Version 2
{"formula": "BaNiBr3", "functional": "GGA-PBE", "state": "optimized geometry", "magnetic_moment_mub_per_fu": 1.00, "sg": "No. 221", "volume_a3_per_atom": 49.17, "lattice": [[6.2645, 0.0000, 0.0000], [0.0000, 6.2645, 0.0000], [0.0000, 0.0000, 6.2645]], "species": ["Br", "Br", "Ba", "Br", "Ni"], "fractional_positions": [[0.0000, 0.5000, 0.0000], [0.5000, 0.0000, 0.0000], [0.0000, 0.0000, 0.0000], [0.0000, 0.0000, 0.5000], [0.5000, 0.5000, 0.5000]]}



What should be chosen as the most stable of them? Choose version 1.



Version 1
{"formula": "Ba2NiBr6", "functional": "GGA-PBE", "state": "optimized geometry", "magnetic_moment_mub_per_fu": 1.93, "sg": "No. 14", "volume_a3_per_atom": 32.78, "lattice": [[-5.5471, 3.5010, 2.7399], [-3.9198, 0.7614, -9.3759], [-3.9266, -7.0577, 1.0685]], "species": ["Ba", "Br", "Br", "Br", "Ni", "Br", "Br", "Ni", "Br", "Ba", "Ba", "Br", "Br", "Br", "Br", "Br", "Br", "Ba"], "fractional_positions": [[0.0366, 0.2556, 0.6008], [0.5858, 0.2427, 0.4867], [0.6971, 0.5424, 0.1640], [0.1663, 0.4554, 0.2857], [0.5000, 0.0000, 0.5000], [0.8029, 0.9576, 0.6640], [0.1971, 0.0424, 0.3360], [0.0000, 0.5000, 0.0000], [0.4142, 0.7573, 0.5133], [0.5366, 0.7556, 0.8992], [0.4634, 0.2444, 0.1008], [0.9142, 0.2573, 0.9867], [0.0858, 0.7427, 0.0133], [0.6663, 0.9554, 0.2143], [0.8337, 0.5446, 0.7143], [0.3337, 0.0446, 0.7857], [0.3029, 0.4576, 0.8360], [0.9634, 0.7444, 0.3992]]}



Version 2
{"formula": "Ba2NiBr6", "functional": "GGA-PBE", "state": "optimized geometry", "magnetic_moment_mub_per_fu": 2.05, "sg": "No. 136", "volume_a3_per_atom": 37.76, "lattice": [[-6.3216, 1.8748, -2.4665], [-2.6114, -6.2401, 1.9499], [-3.2472, 5.1929, 12.2697]], "species": ["Br", "Ba", "Br", "Ni", "Br", "Br", "Br", "Br", "Ba", "Br", "Ba", "Ba", "Br", "Br", "Ni", "Br", "Br", "Br"], "fractional_positions": [[0.3213, 0.3213, 0.6365], [0.0000, 0.0000, 0.6663], [0.3213, 0.3213, 0.3635], [0.5000, 0.5000, 0.5000], [0.2647, 0.2647, 0.0000], [0.1787, 0.8213, 0.8635], [0.2353, 0.7647, 0.5000], [0.6787, 0.6787, 0.3635], [0.5000, 0.5000, 0.8337], [0.7353, 0.7353, 0.0000], [0.5000, 0.5000, 0.1663], [0.0000, 0.0000, 0.3337], [0.6787, 0.6787, 0.6365], [0.7647, 0.2353, 0.5000], [0.0000, 0.0000, 0.0000], [0.8213, 0.1787, 0.1365], [0.1787, 0.8213, 0.1365], [0.8213, 0.1787, 0.8635]]}



What should be chosen as the most stable of them? Choose version 1.



Version 1
{"formula": "Ba2BrO2", "functional": "GGA-PBE", "state": "optimized geometry", "magnetic_moment_mub_per_fu": 1.01, "sg": "No. 12", "volume_a3_per_atom": 27.53, "lattice": [[4.4322, 0.0000, 0.0000], [0.0000, 7.6262, -0.8162], [-2.2161, -2.9313, 8.4586]], "species": ["Ba", "Ba", "O", "Br", "O", "Br", "Ba", "O", "O", "Ba"], "fractional_positions": [[0.1016, 0.7689, 0.7035], [0.6019, 0.2689, 0.7035], [0.0614, 0.3951, 0.6225], [0.7499, 0.7500, 0.0000], [0.5611, 0.8951, 0.6225], [0.2501, 0.2500, 0.0000], [0.8984, 0.2311, 0.2965], [0.9386, 0.6049, 0.3775], [0.4389, 0.1049, 0.3775], [0.3981, 0.7311, 0.2965]]}



Version 2
{"formula": "Ba2BrO2", "functional": "GGA-PBE", "state": "optimized geometry", "magnetic_moment_mub_per_fu": 1.00, "sg": "No. 127", "volume_a3_per_atom": 25.80, "lattice": [[8.3549, 0.0000, 0.0000], [0.0000, 8.3549, 0.0000], [0.0000, 0.0000, 3.6957]], "species": ["Br", "Ba", "Br", "O", "Ba", "O", "O", "Ba", "Ba", "O"], "fractional_positions": [[0.0000, 0.0000, 0.0000], [0.8554, 0.6446, 0.0000], [0.5000, 0.5000, 0.0000], [0.4039, 0.0961, 0.5000], [0.1446, 0.3554, 0.0000], [0.0961, 0.5961, 0.5000], [0.9039, 0.4039, 0.5000], [0.3554, 0.8554, 0.0000], [0.6446, 0.1446, 0.0000], [0.5961, 0.9039, 0.5000]]}



What should be chosen as the most stable of them? Choose version 1.



Version 1
{"formula": "BaOsBr", "functional": "GGA-PBE", "state": "optimized geometry", "magnetic_moment_mub_per_fu": 2.00, "sg": "No. 107", "volume_a3_per_atom": 27.18, "lattice": [[7.0841, 0.0200, -0.0212], [6.2067, 3.4140, -0.0073], [0.8774, 0.2109, 3.3875]], "species": ["Br", "Ba", "Os"], "fractional_positions": [[0.3266, 0.3266, 0.6734], [0.0007, 0.0007, 0.9993], [0.6726, 0.6726, 0.3274]]}



Version 2
{"formula": "BaOsBr", "functional": "GGA-PBE", "state": "optimized geometry", "magnetic_moment_mub_per_fu": 0.01, "sg": "No. 187", "volume_a3_per_atom": 26.54, "lattice": [[4.3984, 0.0000, 0.0000], [-2.1992, 3.8092, 0.0000], [0.0000, 0.0000, 4.7514]], "species": ["Os", "Br", "Ba"], "fractional_positions": [[0.3333, 0.6667, 0.4999], [0.6667, 0.3333, 0.5002], [0.0000, 0.0000, 0.9998]]}



Version 3
{"formula": "BaOsBr", "functional": "GGA-PBE", "state": "optimized geometry", "magnetic_moment_mub_per_fu": 3.00, "sg": "No. 216", "volume_a3_per_atom": 34.23, "lattice": [[-4.8670, 1.8996, -0.5783], [-3.5792, -0.7479, 3.7764], [-1.6063, 4.0517, 2.9384]], "species": ["Ba", "Os", "Br"], "fractional_positions": [[0.5000, 0.5000, 0.5000], [0.0000, 0.0000, 0.0000], [0.7500, 0.7500, 0.7500]]}



What should be chosen as the most stable of them? Choose version 2.



Version 1
{"formula": "BaOsBr3", "functional": "GGA-PBE", "state": "optimized geometry", "magnetic_moment_mub_per_fu": 5.01, "sg": "No. 221", "volume_a3_per_atom": 49.21, "lattice": [[-0.1779, -6.1585, -1.1425], [-0.0716, -1.1409, 6.1609], [-6.2631, 0.1880, -0.0379]], "species": ["Ba", "Os", "Br", "Br", "Br"], "fractional_positions": [[0.0000, 0.0000, 0.0000], [0.5000, 0.5000, 0.5000], [0.0000, 0.0000, 0.5000], [0.0000, 0.5000, 0.0000], [0.5000, 0.0000, 0.0000]]}



Version 2
{"formula": "BaOsBr3", "functional": "GGA-PBE", "state": "optimized geometry", "magnetic_moment_mub_per_fu": 0.00, "sg": "No. 221", "volume_a3_per_atom": 27.69, "lattice": [[-0.2794, -1.7519, -4.8597], [1.8675, -4.5719, 1.5408], [-4.8164, -1.6711, 0.8793]], "species": ["Ba", "Br", "Br", "Os", "Br"], "fractional_positions": [[0.5000, 0.5000, 0.5000], [0.0000, 0.0000, 0.5000], [0.5000, 0.0000, 0.0000], [0.0000, 0.0000, 0.0000], [0.0000, 0.5000, 0.0000]]}



What should be chosen as the most stable of them? Choose version 2.



Version 1
{"formula": "BaOs3Br", "functional": "GGA-PBE", "state": "optimized geometry", "magnetic_moment_mub_per_fu": 0.00, "sg": "No. 221", "volume_a3_per_atom": 21.59, "lattice": [[-1.0493, 2.1937, -4.0938], [-3.9791, -2.5892, -0.3675], [-2.3954, 3.3401, 2.4038]], "species": ["Ba", "Br", "Os", "Os", "Os"], "fractional_positions": [[0.5000, 0.5000, 0.5000], [0.0000, 0.0000, 0.0000], [0.0000, 0.5000, 0.0000], [0.0000, 0.0000, 0.5000], [0.5000, 0.0000, 0.0000]]}



Version 2
{"formula": "BaOs3Br", "functional": "GGA-PBE", "state": "optimized geometry", "magnetic_moment_mub_per_fu": 6.88, "sg": "No. 221", "volume_a3_per_atom": 29.25, "lattice": [[5.2686, 0.0000, 0.0000], [0.0000, 5.2686, 0.0000], [0.0000, 0.0000, 5.2686]], "species": ["Br", "Os", "Os", "Os", "Ba"], "fractional_positions": [[0.5000, 0.5000, 0.5000], [0.5000, 0.0000, 0.0000], [0.0000, 0.0000, 0.5000], [0.0000, 0.5000, 0.0000], [0.0000, 0.0000, 0.0000]]}



What should be chosen as the most stable of them? Choose version 1.



Version 1
{"formula": "BaOsSeBr2", "functional": "GGA-PBE", "state": "optimized geometry", "magnetic_moment_mub_per_fu": 6.00, "sg": "No. 123", "volume_a3_per_atom": 49.54, "lattice": [[-5.9802, -0.6397, 1.4612], [0.5468, -6.1484, -0.4540], [1.5653, -0.3233, 6.2648]], "species": ["Os", "Ba", "Br", "Br", "Se"], "fractional_positions": [[0.5000, 0.5000, 0.5000], [0.0000, 0.0000, 0.0000], [0.0000, 0.5000, 0.0000], [0.5000, 0.0000, 0.0000], [0.0000, 0.0000, 0.5000]]}



Version 2
{"formula": "BaOsSeBr2", "functional": "GGA-PBE", "state": "optimized geometry", "magnetic_moment_mub_per_fu": 0.00, "sg": "No. 123", "volume_a3_per_atom": 27.37, "lattice": [[-4.3362, -2.9354, 0.9781], [2.2872, -4.1752, -2.3902], [1.8862, -1.3810, 4.2173]], "species": ["Os", "Br", "Br", "Se", "Ba"], "fractional_positions": [[0.0000, 0.0000, 0.0000], [0.0000, 0.5000, 0.0000], [0.5000, 0.0000, 0.0000], [0.0000, 0.0000, 0.5000], [0.5000, 0.5000, 0.5000]]}



Version 3
{"formula": "BaOsSeBr2", "functional": "GGA-PBE", "state": "optimized geometry", "magnetic_moment_mub_per_fu": 2.67, "sg": "No. 123", "volume_a3_per_atom": 53.27, "lattice": [[6.1130, 0.0000, 0.0000], [0.0000, 7.1270, 0.0000], [0.0000, 0.0000, 6.1130]], "species": ["Ba", "Se", "Os", "Br", "Br"], "fractional_positions": [[0.0000, 0.0000, 0.0000], [0.5000, 0.5000, 0.5000], [0.0000, 0.5000, 0.0000], [0.0000, 0.0000, 0.5000], [0.5000, 0.0000, 0.0000]]}



What should be chosen as the most stable of them? Choose version 2.



Version 1
{"formula": "BaOsSe2Br", "functional": "GGA-PBE", "state": "optimized geometry", "magnetic_moment_mub_per_fu": 1.76, "sg": "No. 123", "volume_a3_per_atom": 26.72, "lattice": [[-0.3363, -4.1788, -2.6977], [4.8620, 0.2941, -1.0617], [1.1311, -2.9140, 4.3727]], "species": ["Se", "Ba", "Se", "Br", "Os"], "fractional_positions": [[0.5000, 0.0000, 0.0000], [0.5000, 0.5000, 0.5000], [0.0000, 0.5000, 0.0000], [0.0000, 0.0000, 0.5000], [0.0000, 0.0000, 0.0000]]}



Version 2
{"formula": "BaOsSe2Br", "functional": "GGA-PBE", "state": "optimized geometry", "magnetic_moment_mub_per_fu": 7.02, "sg": "No. 123", "volume_a3_per_atom": 48.19, "lattice": [[6.2688, 0.0000, 0.0000], [0.0000, 6.2688, 0.0000], [0.0000, 0.0000, 6.1314]], "species": ["Br", "Se", "Se", "Ba", "Os"], "fractional_positions": [[0.0000, 0.0000, 0.5000], [0.0000, 0.5000, 0.0000], [0.5000, 0.0000, 0.0000], [0.0000, 0.0000, 0.0000], [0.5000, 0.5000, 0.5000]]}



What should be chosen as the most stable of them? Choose version 1.